# GGA-PBE CoNiAgSb, relaxed
data_CoNiAgSb
_cell_length_a 6.1803
_cell_length_b 6.1803
_cell_length_c 6.1803
_cell_angle_alpha 90.00
_cell_angle_beta 90.00
_cell_angle_gamma 90.00
_symmetry_space_group_name_H-M 'F -4 3 m'
_symmetry_Int_Tables_number 216
_symmetry_space_group_name_Hall 'F -4 2 3'
loop_
_atom_site_label
_atom_site_type_symbol
_atom_site_fract_x
_atom_site_fract_y
_atom_site_fract_z
Co1 Co 0.0000 0.0000 0.0000
Ni1 Ni 0.0000 0.0000 0.5000
Ag1 Ag 0.2500 0.2500 0.2500
Sb1 Sb 0.2500 0.2500 0.7500
# ΔE to the lowest computed polymorph: 0 meV per atom